Version P
A plane-wave DFT calculation with PBE-GGA was carried out for crystalline P2RhCS at its relaxed geometry.

Computed properties:
* symmetry: No. 123

Structure (POSCAR):
```
P2RhCS
1.0
3.900 0.000 0.000
0.000 3.900 0.000
0.000 0.000 4.197
P S Rh C
2 1 1 1
direct
0.000 0.500 0.000
0.500 0.000 0.000
0.000 0.000 0.500
0.500 0.500 0.500
0.000 0.000 0.000
```

=====

Version Q
A plane-wave DFT calculation with PBE-GGA was carried out for crystalline P2RhCS at its relaxed geometry.

Computed properties:
* symmetry: No. 123

Structure (POSCAR):
```
P2RhCS
1.0
-0.195 3.980 1.995
-3.370 1.172 -2.669
-3.230 -1.805 3.286
P S Rh C
2 1 1 1
direct
0.000 0.500 0.000
0.500 0.000 0.000
0.000 0.000 0.500
0.000 0.000 0.000
0.500 0.500 0.500
```

=====

Which of them is the most stable, and which is the least stable? version P and version Q, in that order.

=====

Version P
A plane-wave DFT calculation with PBE-GGA was carried out for crystalline SiPRhC at its relaxed geometry.

Computed properties:
* symmetry: No. 8

Structure (POSCAR):
```
SiPRhC
1.0
5.564 0.000 -0.012
0.000 3.084 0.000
-4.645 0.000 6.666
P Si Rh C
2 2 2 2
direct
0.726 0.000 0.356
0.726 0.500 0.856
0.394 0.000 0.003
0.394 0.500 0.503
0.052 0.000 0.080
0.052 0.500 0.580
0.430 0.000 0.392
0.430 0.500 0.892
```

=====

Version Q
A plane-wave DFT calculation with PBE-GGA was carried out for crystalline SiPRhC at its relaxed geometry.

Computed properties:
* symmetry: No. 8

Structure (POSCAR):
```
SiPRhC
1.0
6.146 0.000 0.002
0.000 3.002 0.000
-4.659 0.000 6.629
P Si Rh C
2 2 2 2
direct
0.999 0.000 0.737
0.999 0.500 0.237
0.511 0.000 0.186
0.511 0.500 0.686
0.068 0.000 0.055
0.068 0.500 0.555
0.692 0.000 0.708
0.692 0.500 0.208
```

=====

Which of them is the most stable, and which is the least stable? version P and version Q, in that order.

=====

Version P
A plane-wave DFT calculation with PBE-GGA was carried out for crystalline SiPRhC at its relaxed geometry.

Computed properties:
* symmetry: No. 1

Structure (POSCAR):
```
SiPRhC
1.0
3.112 0.000 -0.001
1.554 2.698 -0.002
0.011 0.019 6.082
P Si Rh C
1 1 1 1
direct
0.381 0.449 0.971
0.048 0.112 0.391
0.714 0.783 0.751
0.381 0.446 0.263
```

=====

Version Q
A plane-wave DFT calculation with PBE-GGA was carried out for crystalline SiPRhC at its relaxed geometry.

Computed properties:
* symmetry: No. 1

Structure (POSCAR):
```
SiPRhC
1.0
3.513 -0.005 -0.011
1.340 4.358 -0.025
1.493 1.080 4.171
P Si Rh C
1 1 1 1
direct
0.785 0.713 0.974
0.118 0.382 0.363
0.632 0.251 0.904
0.152 0.506 0.697
```

=====

Which of them is the most stable, and which is the least stable? version P and version Q, in that order.

=====

Version P
A plane-wave DFT calculation with PBE-GGA was carried out for crystalline SiPRhC at its relaxed geometry.

Computed properties:
* symmetry: No. 160

Structure (POSCAR):
```
SiPRhC
1.0
3.156 0.000 0.000
-1.578 2.733 0.000
0.000 0.000 18.917
P Si Rh C
3 3 3 3
direct
0.000 0.000 0.784
0.333 0.667 0.450
0.667 0.333 0.117
0.000 0.000 0.659
0.333 0.667 0.325
0.667 0.333 0.992
0.000 0.000 0.188
0.333 0.667 0.854
0.667 0.333 0.521
0.000 0.000 0.305
0.333 0.667 0.972
0.667 0.333 0.639
```

=====

Version Q
A plane-wave DFT calculation with PBE-GGA was carried out for crystalline SiPRhC at its relaxed geometry.

Computed properties:
* symmetry: No. 156

Structure (POSCAR):
```
SiPRhC
1.0
3.369 0.000 0.000
-1.684 2.917 0.000
0.000 0.000 6.285
P Si Rh C
1 1 1 1
direct
0.667 0.333 0.043
0.667 0.333 0.515
0.333 0.667 0.277
0.667 0.333 0.790
```

=====

Version R
A plane-wave DFT calculation with PBE-GGA was carried out for crystalline SiPRhC at its relaxed geometry.

Computed properties:
* symmetry: No. 156

Structure (POSCAR):
```
SiPRhC
1.0
-0.053 1.405 2.805
-0.394 -3.106 -0.206
6.307 -0.836 0.538
P Si Rh C
1 1 1 1
direct
0.333 0.667 0.056
0.333 0.667 0.681
0.667 0.333 0.270
0.667 0.333 0.618
```

=====

Version S
A plane-wave DFT calculation with PBE-GGA was carried out for crystalline SiPRhC at its relaxed geometry.

Computed properties:
* symmetry: No. 1

Structure (POSCAR):
```
SiPRhC
1.0
3.297 -0.014 0.011
-1.641 4.049 0.006
-0.012 -0.022 4.475
P Si Rh C
1 1 1 1
direct
0.928 0.028 0.243
0.563 0.297 0.498
0.349 0.870 0.839
0.785 0.743 0.568
```

=====

Which of them is the most stable, and which is the least stable? version P and version Q, in that order.

=====

Version P
A plane-wave DFT calculation with PBE-GGA was carried out for crystalline P2CS at its relaxed geometry.

Computed properties:
* symmetry: No. 122

Structure (POSCAR):
```
P2CS
1.0
5.592 0.000 0.000
0.000 5.592 0.000
2.796 2.796 3.547
P S C
4 2 2
direct
0.548 0.125 0.250
0.202 0.625 0.250
0.375 0.452 0.750
0.875 0.798 0.750
0.000 0.000 0.000
0.750 0.250 0.500
0.500 0.500 0.000
0.250 0.750 0.500
```

=====

Version Q
A plane-wave DFT calculation with PBE-GGA was carried out for crystalline P2CS at its relaxed geometry.

Computed properties:
* symmetry: No. 225

Structure (POSCAR):
```
P2CS
1.0
-1.385 -2.170 3.216
-2.813 1.632 2.527
-3.856 -1.449 0.000
P S C
2 1 1
direct
0.250 0.250 0.250
0.750 0.750 0.750
0.500 0.500 0.500
0.000 0.000 0.000
```

=====

Which of them is the most stable, and which is the least stable? version P and version Q, in that order.

=====

Version P
A plane-wave DFT calculation with PBE-GGA was carried out for crystalline PCS2 at its relaxed geometry.

Computed properties:
* symmetry: No. 122

Structure (POSCAR):
```
PCS2
1.0
5.735 0.000 0.000
0.000 5.735 0.000
2.868 2.868 3.616
P S C
2 4 2
direct
0.000 0.000 0.000
0.750 0.250 0.500
0.560 0.125 0.250
0.190 0.625 0.250
0.375 0.440 0.750
0.875 0.810 0.750
0.500 0.500 0.000
0.250 0.750 0.500
```

=====

Version Q
A plane-wave DFT calculation with PBE-GGA was carried out for crystalline PCS2 at its relaxed geometry.

Computed properties:
* symmetry: No. 225

Structure (POSCAR):
```
PCS2
1.0
0.000 2.968 2.968
2.968 0.000 2.968
2.968 2.968 0.000
P S C
1 2 1
direct
0.500 0.500 0.500
0.250 0.250 0.250
0.750 0.750 0.750
0.000 0.000 0.000
```

=====

Version R
A plane-wave DFT calculation with PBE-GGA was carried out for crystalline PCS2 at its relaxed geometry.

Computed properties:
* symmetry: No. 166

Structure (POSCAR):
```
PCS2
1.0
4.430 3.000 4.990
6.263 2.793 2.550
4.347 5.161 2.827
P S C
1 2 1
direct
0.000 0.000 0.000
0.891 0.891 0.891
0.109 0.109 0.109
0.500 0.500 0.500
```

=====

Version S
A plane-wave DFT calculation with PBE-GGA was carried out for crystalline PCS2 at its relaxed geometry.

Computed properties:
* symmetry: No. 166

Structure (POSCAR):
```
PCS2
1.0
3.761 4.383 3.574
4.776 1.065 4.710
6.136 2.428 1.608
P S C
1 2 1
direct
0.500 0.500 0.500
0.918 0.918 0.918
0.082 0.082 0.082
0.000 0.000 0.000
```

=====

Which of them is the most stable, and which is the least stable? version S and version Q, in that order.

=====

Version P
A plane-wave DFT calculation with PBE-GGA was carried out for crystalline P2CS2 at its relaxed geometry.

Computed properties:
* symmetry: No. 123

Structure (POSCAR):
```
P2CS2
1.0
-1.300 -2.592 -3.093
-2.480 -2.050 2.760
-2.919 2.435 -0.814
P S C
2 2 1
direct
0.000 0.500 0.000
0.500 0.000 0.000
0.500 0.500 0.500
0.000 0.000 0.500
0.000 0.000 0.000
```

=====

Version Q
A plane-wave DFT calculation with PBE-GGA was carried out for crystalline P2CS2 at its relaxed geometry.

Computed properties:
* symmetry: No. 123

Structure (POSCAR):
```
P2CS2
1.0
4.098 0.000 0.000
0.000 4.098 0.000
0.000 0.000 4.047
P S C
2 2 1
direct
0.500 0.500 0.500
0.000 0.000 0.500
0.000 0.500 0.000
0.500 0.000 0.000
0.000 0.000 0.000
```

=====

Which of them is the most stable, and which is the least stable? version Q and version P, in that order.

=====

Version P
A plane-wave DFT calculation with PBE-GGA was carried out for crystalline P2CS2 at its relaxed geometry.

Computed properties:
* symmetry: No. 123

Structure (POSCAR):
```
P2CS2
1.0
-1.746 -1.148 3.806
-3.167 -2.111 -2.089
2.563 -3.857 0.012
P S C
2 2 1
direct
0.000 0.000 0.000
0.000 0.000 0.500
0.000 0.500 0.000
0.500 0.000 0.000
0.500 0.500 0.500
```

=====

Version Q
A plane-wave DFT calculation with PBE-GGA was carried out for crystalline P2CS2 at its relaxed geometry.

Computed properties:
* symmetry: No. 123

Structure (POSCAR):
```
P2CS2
1.0
-2.244 1.433 -3.658
-3.917 -0.486 2.212
0.299 4.141 1.439
P S C
2 2 1
direct
0.000 0.500 0.000
0.500 0.000 0.000
0.000 0.000 0.000
0.000 0.000 0.500
0.500 0.500 0.500
```

=====

Which of them is the most stable, and which is the least stable? version P and version Q, in that order.

=====

Version P
A plane-wave DFT calculation with PBE-GGA was carried out for crystalline PCS3 at its relaxed geometry.

Computed properties:
* symmetry: No. 221

Structure (POSCAR):
```
PCS3
1.0
4.093 0.000 0.000
0.000 4.093 0.000
0.000 0.000 4.093
P S C
1 3 1
direct
0.500 0.500 0.500
0.000 0.500 0.000
0.000 0.000 0.500
0.500 0.000 0.000
0.000 0.000 0.000
```

=====

Version Q
A plane-wave DFT calculation with PBE-GGA was carried out for crystalline PCS3 at its relaxed geometry.

Computed properties:
* symmetry: No. 221

Structure (POSCAR):
```
PCS3
1.0
4.452 0.000 0.000
0.000 4.452 0.000
0.000 0.000 4.452
P S C
1 3 1
direct
0.000 0.000 0.000
0.000 0.500 0.000
0.000 0.000 0.500
0.500 0.000 0.000
0.500 0.500 0.500
```

=====

Which of them is the most stable, and which is the least stable? version P and version Q, in that order.

=====

Version P
A plane-wave DFT calculation with PBE-GGA was carried out for crystalline P3CS at its relaxed geometry.

Computed properties:
* symmetry: No. 221

Structure (POSCAR):
```
P3CS
1.0
-2.321 2.895 1.716
-3.258 -2.455 -0.265
0.844 -1.518 3.701
P S C
3 1 1
direct
0.000 0.500 0.000
0.000 0.000 0.500
0.500 0.000 0.000
0.500 0.500 0.500
0.000 0.000 0.000
```

=====

Version Q
A plane-wave DFT calculation with PBE-GGA was carried out for crystalline P3CS at its relaxed geometry.

Computed properties:
* symmetry: No. 221

Structure (POSCAR):
```
P3CS
1.0
4.453 0.000 0.000
0.000 4.453 0.000
0.000 0.000 4.453
P S C
3 1 1
direct
0.000 0.500 0.000
0.000 0.000 0.500
0.500 0.000 0.000
0.000 0.000 0.000
0.500 0.500 0.500
```

=====

Which of them is the most stable, and which is the least stable? version P and version Q, in that order.

=====

Version P
A plane-wave DFT calculation with PBE-GGA was carried out for crystalline PCS at its relaxed geometry.

Computed properties:
* symmetry: No. 2

Structure (POSCAR):
```
PCS
1.0
2.256 0.911 -0.372
0.947 4.296 0.505
-2.068 -0.055 13.805
P S C
2 2 2
direct
0.621 0.301 0.451
0.379 0.699 0.549
0.252 0.751 0.160
0.748 0.249 0.840
0.834 0.958 0.027
0.166 0.042 0.973
```

=====

Version Q
A plane-wave DFT calculation with PBE-GGA was carried out for crystalline PCS at its relaxed geometry.

Computed properties:
* symmetry: No. 1

Structure (POSCAR):
```
PCS
1.0
2.772 0.015 0.001
-0.014 3.663 0.057
-0.072 -0.425 6.778
P S C
1 1 1
direct
0.676 0.967 0.534
0.187 0.982 0.943
0.180 0.974 0.697
```

=====

Version R
A plane-wave DFT calculation with PBE-GGA was carried out for crystalline PCS at its relaxed geometry.

Computed properties:
* symmetry: No. 1

Structure (POSCAR):
```
PCS
1.0
-3.931 -3.130 -1.452
2.210 -5.100 -0.456
-1.064 -2.791 4.788
P S C
2 2 2
direct
0.248 0.036 0.921
0.726 0.218 0.554
0.353 0.498 0.947
0.710 0.839 0.564
0.456 0.261 0.784
0.444 0.789 0.792
```

=====

Which of them is the most stable, and which is the least stable? version P and version Q, in that order.